Material: Ba2LiAlPd
Method: DFT, PBE
State: relaxed

```
5
Lattice="-0.693 -5.844 -2.057 2.713 -2.147 5.186 -4.378 -0.251 2.186" Properties=species:S:1:pos:R:3 pbc="T T T"
Li -1.179 -4.121 2.657
Ba -0.346 -2.922 -1.029
Ba 1.356 -1.074 2.593
Al -2.189 -0.125 1.093
Pd 0.000 0.000 0.000
```

Values from the calculation:
DFT formation energy   -213 meV per atom
Size of the total moment   0.000 μB/atom
Density of states at the Fermi level   5.487 states/eV/f.u.
Final energy   -3.152 eV per atom

Material: CsNaIn2Ni
Method: DFT, PBE
State: relaxed

```
5
Lattice="-4.904 0.245 -1.291 0.537 -4.180 -2.831 -1.399 -3.350 4.681" Properties=species:S:1:pos:R:3 pbc="T T T"
Na -0.700 -1.675 2.340
Ni 0.000 0.000 0.000
In 0.268 -2.090 -1.416
In -2.452 0.122 -0.645
Cs -2.884 -3.643 0.279
```

Values from the calculation:
DFT formation energy   -8 meV per atom
Size of the total moment   0.000 μB/atom
Density of states at the Fermi level   1.932 states/eV/f.u.
Final energy   -2.695 eV per atom